# CrInNiO2 GGA+U optimized geometry
data_CrInNiO2
_cell_length_a 3.925
_cell_length_b 3.925
_cell_length_c 4.857
_cell_angle_alpha 90.00
_cell_angle_beta 90.00
_cell_angle_gamma 90.00
_space_group_name_H-M_alt 'P 1'
_space_group_IT_number 1
loop_
_space_group_symop_operation_xyz
'x,y,z'
loop_
_atom_site_label
_atom_site_type_symbol
_atom_site_fract_x
_atom_site_fract_y
_atom_site_fract_z
Cr1 Cr 0.000 0.000 0.000
In1 In 0.500 0.500 0.000
Ni1 Ni 0.500 0.500 0.500
O1 O 0.000 0.500 0.500
O2 O 0.500 0.000 0.500
# mass density	5.71	g/cm3
# energy	-4.296	eV/atom
# calculated volume	15.0	A^3/atom
# M_tot	0.998	μB per atom